1.
This record from Alexandria via LeMat-Bulk describes Tb5NdTl8 after structural relaxation. The functional is PBE-GGA.

Results
- space group = I-4
- DOS(E_F) (states/eV per cell) = 11.89
- calculated volume (Å³/cell) = 407.15
- energy of formation (eV per atom) = -0.258

a b c (Å): 8.087 8.087 8.087
angles (deg): 109.88 108.65 109.88
Fractional positions:
1 Tb 0.009 0.379 0.128
2 Tb 0.872 0.881 0.251
3 Tb 0.749 0.621 0.630
4 Tb 0.500 0.000 0.500
5 Tb 0.370 0.119 0.991
6 Nd 0.250 0.500 0.750
7 Tl 0.124 0.755 0.044
8 Tl 0.956 0.079 0.711
9 Tl 0.782 0.249 0.366
10 Tl 0.634 0.416 0.883
11 Tl 0.467 0.584 0.218
12 Tl 0.631 0.921 0.876
13 Tl 0.289 0.245 0.369
14 Tl 0.117 0.751 0.533



2.
This record from Alexandria via LeMat-Bulk describes Tb4Nd2Tl5 after structural relaxation. The functional is PBE-GGA.

Results
- space group = Fmmm
- DOS(E_F) (states/eV per cell) = 17.55
- calculated volume (Å³/cell) = 375.41
- energy of formation (eV per atom) = -0.045

a b c (Å): 6.716 6.504 10.583
angles (deg): 80.57 71.50 58.91
Fractional positions:
1 Tb 0.468 0.325 0.739
2 Tb 0.532 0.675 0.261
3 Tb 0.207 0.325 0.261
4 Tb 0.793 0.675 0.739
5 Nd 0.813 0.000 0.373
6 Nd 0.187 0.000 0.627
7 Tl 0.500 0.000 0.000
8 Tl 0.000 0.500 0.000
9 Tl 0.500 0.500 0.000
10 Tl 0.250 0.500 0.500
11 Tl 0.750 0.500 0.500



3.
This record from Alexandria via LeMat-Bulk describes Tb5Nd2Tl after structural relaxation. The functional is PBE-GGA.

Results
- space group = Imm2
- DOS(E_F) (states/eV per cell) = 10.41
- calculated volume (Å³/cell) = 251.78
- offset from the most stable computed form (meV per atom) = 0.0
- energy of formation (eV per atom) = -0.042

a b c (Å): 7.055 7.056 7.104
angles (deg): 119.77 119.76 90.01
Fractional positions:
1 Tb 0.722 0.222 0.943
2 Tb 0.222 0.222 0.943
3 Tb 0.723 0.723 0.945
4 Tb 0.222 0.723 0.945
5 Tb 0.722 0.722 0.444
6 Nd 0.222 0.721 0.444
7 Nd 0.722 0.223 0.444
8 Tl 0.222 0.222 0.445



4.
This record from Alexandria via LeMat-Bulk describes Tb3Nd4Tl4 after structural relaxation. The functional is PBE-GGA.

Results
- space group = Immm
- DOS(E_F) (states/eV per cell) = 10.29
- calculated volume (Å³/cell) = 341.54
- energy of formation (eV per atom) = -0.252

a b c (Å): 3.688 9.504 10.996
angles (deg): 115.60 99.65 90.00
Fractional positions:
1 Tb 0.094 0.094 0.188
2 Tb 0.906 0.906 0.812
3 Tb 0.000 0.500 0.000
4 Nd 0.338 0.162 0.676
5 Nd 0.662 0.486 0.324
6 Nd 0.662 0.838 0.324
7 Nd 0.338 0.514 0.676
8 Tl 0.276 0.776 0.551
9 Tl 0.724 0.224 0.449
10 Tl 0.500 0.780 0.000
11 Tl 0.500 0.220 0.000



5.
This record from Alexandria via LeMat-Bulk describes Tb3Nd7Tl2 after structural relaxation. The functional is PBE-GGA.

Results
- space group = P2/m
- DOS(E_F) (states/eV per cell) = 15.07
- calculated volume (Å³/cell) = 397.13
- energy of formation (eV per atom) = -0.011

a b c (Å): 3.677 5.739 18.868
angles (deg): 94.03 90.00 90.00
Fractional positions:
1 Tb 0.500 0.500 0.000
2 Tb 0.000 0.217 0.362
3 Tb 0.000 0.783 0.638
4 Nd 0.500 0.742 0.464
5 Nd 0.500 0.258 0.536
6 Nd 0.000 0.665 0.151
7 Nd 0.000 0.000 0.000
8 Nd 0.000 0.335 0.849
9 Nd 0.500 0.833 0.827
10 Nd 0.500 0.167 0.173
11 Tl 0.500 0.698 0.296
12 Tl 0.500 0.302 0.704



6.
This record from Alexandria via LeMat-Bulk describes Tb2Nd2Tl3 after structural relaxation. The functional is PBE-GGA.

Results
- space group = C2/m
- DOS(E_F) (states/eV per cell) = 6.24
- calculated volume (Å³/cell) = 206.52
- offset from the most stable computed form (meV per atom) = 0.0
- energy of formation (eV per atom) = -0.257

a b c (Å): 3.827 8.770 6.456
angles (deg): 93.45 72.76 90.03
Fractional positions:
1 Tb 0.562 0.288 0.876
2 Tb 0.438 0.712 0.124
3 Nd 0.707 0.841 0.586
4 Nd 0.293 0.159 0.414
5 Tl 0.000 0.000 0.000
6 Tl 0.852 0.454 0.297
7 Tl 0.148 0.546 0.703



7.
This record from Alexandria via LeMat-Bulk describes TbNd5Tl3 after structural relaxation. The functional is PBE-GGA.

Results
- space group = Cmcm
- DOS(E_F) (states/eV per cell) = 23.85
- calculated volume (Å³/cell) = 555.62
- energy of formation (eV per atom) = -0.265

a b c (Å): 6.922 9.627 9.628
angles (deg): 120.00 90.00 90.00
Last column: magnetic moment on the atom in μB.
Fractional positions:
1 Tb 0.000 0.000 0.000  0.20
2 Tb 0.500 0.000 0.000  0.20
3 Nd 0.000 0.667 0.334  0.22
4 Nd 0.500 0.333 0.666  0.22
5 Nd 0.000 0.333 0.666  0.22
6 Nd 0.500 0.667 0.334  0.22
7 Nd 0.750 0.662 0.662  0.12
8 Nd 0.750 0.000 0.338  0.12
9 Nd 0.750 0.338 0.000  0.11
10 Nd 0.250 0.338 0.338  0.12
11 Nd 0.250 0.000 0.662  0.12
12 Nd 0.250 0.662 0.000  0.11
13 Tl 0.750 0.326 0.326  0.00
14 Tl 0.750 0.000 0.674  0.00
15 Tl 0.750 0.674 0.000  0.00
16 Tl 0.250 0.674 0.674  0.00
17 Tl 0.250 0.000 0.326  0.00
18 Tl 0.250 0.326 0.000  0.00



8.
This record from Alexandria via LeMat-Bulk describes Tb3Nd5Tl2 after structural relaxation. The functional is PBE-GGA.

Results
- space group = Ibam
- DOS(E_F) (states/eV per cell) = 24.63
- calculated volume (Å³/cell) = 676.20
- energy of formation (eV per atom) = 0.140

a b c (Å): 6.631 10.682 10.682
angles (deg): 92.17 71.92 71.92
Fractional positions:
1 Tb 0.250 0.000 0.000
2 Tb 0.750 0.000 0.000
3 Tb 0.389 0.343 0.879
4 Tb 0.611 0.657 0.121
5 Tb 0.889 0.879 0.343
6 Tb 0.111 0.121 0.657
7 Nd 0.250 0.500 0.500
8 Nd 0.750 0.500 0.500
9 Nd 0.499 0.751 0.751
10 Nd 0.001 0.249 0.249
11 Nd 0.501 0.249 0.249
12 Nd 0.999 0.751 0.751
13 Nd 0.125 0.538 0.212
14 Nd 0.875 0.462 0.788
15 Nd 0.625 0.212 0.538
16 Nd 0.375 0.788 0.462
17 Tl 0.124 0.733 0.020
18 Tl 0.876 0.267 0.980
19 Tl 0.624 0.020 0.733
20 Tl 0.376 0.980 0.267



Which formula does entry 5 have?
Tb3Nd7Tl2